Entry 1:
Below is an optimized crystal structure of Na3Ta2WN6, with properties calculated at the PBE level.

As for the formation energy without anion corrections: -703 meV/atom.

a = 5.3604 Å, b = 5.3604 Å, c = 6.0049 Å
α = 98.56°, β = 98.56°, γ = 120.00°
Sites, in units of the cell vectors:
Na  0.0000  0.0000  0.0000
Na  0.3333  0.6667  0.0000
Na  0.6667  0.3333  0.0000
Ta  0.1667  0.8333  0.5000
Ta  0.8333  0.1667  0.5000
W  0.5000  0.5000  0.5000
N  0.1057  0.4342  0.3027
N  0.2374  0.2374  0.6971
N  0.4342  0.1057  0.3027
N  0.5658  0.8943  0.6973
N  0.7626  0.7626  0.3029
N  0.8943  0.5658  0.6973

***

Entry 2:
Below is an optimized crystal structure of Na3Ta3WN8, with properties calculated at the PBE level.

As for the formation energy without anion corrections: -734 meV/atom.

a = 6.8032 Å, b = 6.8032 Å, c = 6.8032 Å
α = 54.30°, β = 54.30°, γ = 54.30°
Sites, in units of the cell vectors:
Na  0.0000  0.5000  0.5000
Na  0.5000  0.0000  0.5000
Na  0.5000  0.5000  0.0000
Ta  0.0000  0.0000  0.5000
Ta  0.0000  0.5000  0.0000
Ta  0.5000  0.0000  0.0000
W  0.5000  0.5000  0.5000
N  0.2303  0.2303  0.2303
N  0.2369  0.7249  0.7249
N  0.2751  0.2751  0.7631
N  0.2751  0.7631  0.2751
N  0.7249  0.2369  0.7249
N  0.7249  0.7249  0.2369
N  0.7631  0.2751  0.2751
N  0.7697  0.7697  0.7697

***

Entry 3:
Below is an optimized crystal structure of NaZrTa2N, with properties calculated at the PBE level.

As for the formation energy without anion corrections: 2121 meV/atom.

a = 4.9089 Å, b = 4.9089 Å, c = 3.8405 Å
α = 90.00°, β = 90.00°, γ = 90.00°
Sites, in units of the cell vectors:
Na  0.0000  0.0000  0.0000
Zr  0.5000  0.5000  0.5000
Ta  0.0000  0.5000  0.0000
Ta  0.5000  0.0000  0.0000
N  0.0000  0.0000  0.5000

***

Entry 4:
Below is an optimized crystal structure of NaTbTcN3, with properties calculated at the PBE level.

As for the formation energy without anion corrections: -468 meV/atom.

a = 6.9503 Å, b = 6.9503 Å, c = 6.9802 Å
α = 105.24°, β = 105.24°, γ = 32.30°
Sites, in units of the cell vectors:
Na  0.1475  0.1475  0.0766
Na  0.8525  0.8525  0.9234
Tb  0.1623  0.1623  0.5851
Tb  0.8377  0.8377  0.4149
Tc  0.4998  0.4998  0.3061
Tc  0.5002  0.5002  0.6939
N  0.0077  0.0077  0.3049
N  0.3410  0.3410  0.6381
N  0.3571  0.3571  0.1854
N  0.6429  0.6429  0.8146
N  0.6590  0.6590  0.3619
N  0.9923  0.9923  0.6951

***

Entry 5:
Below is an optimized crystal structure of Na3TbU3N8, with properties calculated at the PBE level.

As for the formation energy without anion corrections: -1040 meV/atom.

a = 6.9847 Å, b = 6.9847 Å, c = 6.9847 Å
α = 60.08°, β = 60.08°, γ = 60.08°
Sites, in units of the cell vectors:
Na  0.0000  0.5000  0.5000
Na  0.5000  0.0000  0.5000
Na  0.5000  0.5000  0.0000
Tb  0.5000  0.5000  0.5000
U  0.0000  0.0000  0.5000
U  0.0000  0.5000  0.0000
U  0.5000  0.0000  0.0000
N  0.1977  0.7354  0.7354
N  0.2297  0.2297  0.2297
N  0.2646  0.2646  0.8023
N  0.2646  0.8023  0.2646
N  0.7354  0.1977  0.7354
N  0.7354  0.7354  0.1977
N  0.7703  0.7703  0.7703
N  0.8023  0.2646  0.2646

***

Entry 6:
Below is an optimized crystal structure of Na2TcN2, with properties calculated at the PBE level.

As for the formation energy without anion corrections: 35 meV/atom.

a = 2.9237 Å, b = 9.2106 Å, c = 5.6328 Å
α = 90.00°, β = 104.93°, γ = 90.00°
Sites, in units of the cell vectors:
Na  0.1171  0.0000  0.2186
Na  0.3376  0.1681  0.7081
Na  0.6624  0.6681  0.2919
Na  0.8829  0.5000  0.7814
Tc  0.4456  0.8346  0.7575
Tc  0.5544  0.3346  0.2425
N  0.0040  0.2571  0.0331
N  0.2116  0.4294  0.4361
N  0.7884  0.9294  0.5639
N  0.9960  0.7571  0.9669